Computed, not measured: crystalline Rb3Nd3InS8 at its relaxed geometry at the PBE-GGA level of DFT.

a b c (Å): 8.2735 8.2780 9.1991
angles (deg): 116.77 90.00 119.99
Last column: nearest neighbours and their distance in Å.
Fractional positions:
Rb 0.0000 0.0000 0.0000  6 S 3.37-3.38
Rb 0.0000 0.5000 0.0000  6 S 3.37-3.38
Rb 0.5000 0.5000 0.0000  6 S 3.37-3.38
Nd 0.5000 0.0000 0.5000  6 S 2.85-2.86
Nd 0.5000 0.5000 0.5000  6 S 2.85-2.86
Nd 0.0000 0.5000 0.5000  6 S 2.85-2.86
In 0.0000 0.0000 0.5000  6 S 2.71-2.72
S 0.2676 0.5352 0.3029  3 Nd 2.85
S 0.7324 0.4648 0.6971  3 Nd 2.85
S 0.7785 0.5570 0.3115  1 In 2.71, 2 Nd 2.86
S 0.2215 0.4430 0.6885  1 In 2.71, 2 Nd 2.86
S 0.7784 0.0330 0.3114  1 In 2.72, 2 Nd 2.86
S 0.2216 0.9670 0.6886  1 In 2.72, 2 Nd 2.86
S 0.2546 0.0330 0.3114  1 In 2.72, 2 Nd 2.86
S 0.7454 0.9670 0.6886  1 In 2.72, 2 Nd 2.86

Computed properties:
- DFT total energy: -74.76 eV for the cell shown
- Space group: R-3m, No. 166
- Spin magnetization: 0.0 μB per formula unit
- E_form (uncorrected): -1.45 eV per atom

=====

Computed, not measured: crystalline Rb4Nd3InS8 at its relaxed geometry at the PBE-GGA level of DFT.

a b c (Å): 8.3303 9.1042 8.3315
angles (deg): 117.24 120.00 90.00
Last column: nearest neighbours and their distance in Å.
Fractional positions:
Rb 0.5000 0.0000 0.0000  6 S 3.43
Rb 0.5000 0.0000 0.5000  6 S 3.34-3.35
Rb 0.0000 0.0000 0.0000  6 S 3.34-3.35
Rb 0.0000 0.0000 0.5000  6 S 3.34-3.35
Nd 0.5000 0.5000 0.0000  6 S 2.85-2.87
Nd 0.5000 0.5000 0.5000  6 S 2.85-2.87
Nd 0.0000 0.5000 0.5000  6 S 2.85-2.87
In 0.0000 0.5000 0.0000  6 S 2.76-2.77
S 0.2257 0.6947 0.9690  1 In 2.76, 2 Nd 2.87
S 0.2259 0.6949 0.4519  1 In 2.77, 2 Nd 2.87
S 0.2672 0.3017 0.5345  3 Nd 2.85
S 0.7434 0.6947 0.9690  1 In 2.76, 2 Nd 2.87
S 0.2566 0.3053 0.0310  1 In 2.76, 2 Nd 2.87
S 0.7328 0.6983 0.4655  3 Nd 2.85
S 0.7741 0.3051 0.5481  1 In 2.77, 2 Nd 2.87
S 0.7743 0.3053 0.0310  1 In 2.76, 2 Nd 2.87

Computed properties:
- DFT total energy: -78.76 eV for the cell shown
- Space group: R-3m, No. 166
- Spin magnetization: 0.0 μB per formula unit
- E_form (uncorrected): -1.55 eV per atom

=====

Computed, not measured: crystalline Rb3Nd2InSe6 at its relaxed geometry at the PBE-GGA level of DFT.

a b c (Å): 7.4641 7.4641 8.4223
angles (deg): 98.52 98.52 120.02
Last column: nearest neighbours and their distance in Å.
Fractional positions:
Rb 0.1687 0.8313 0.5000  6 Se 3.45-3.53
Rb 0.8313 0.1687 0.5000  6 Se 3.45-3.53
Rb 0.5000 0.5000 0.5000  6 Se 3.45-3.54
Nd 0.3337 0.6663 0.0000  6 Se 2.99-3.00
Nd 0.6663 0.3337 0.0000  6 Se 2.99-3.00
In 0.0000 0.0000 0.0000  6 Se 2.87-2.88
Se 0.9341 0.6135 0.8025  1 In 2.87, 2 Nd 2.99-3.00
Se 0.7456 0.7456 0.1985  1 In 2.88, 2 Nd 2.99
Se 0.0659 0.3865 0.1975  1 In 2.87, 2 Nd 2.99-3.00
Se 0.6135 0.9341 0.8025  1 In 2.87, 2 Nd 2.99-3.00
Se 0.2544 0.2544 0.8015  1 In 2.88, 2 Nd 2.99
Se 0.3865 0.0659 0.1975  1 In 2.87, 2 Nd 2.99-3.00

Computed properties:
- DFT total energy: -52.89 eV for the cell shown
- Space group: C2/m, No. 12
- Spin magnetization: 0.0 μB per formula unit
- E_form (uncorrected): -1.40 eV per atom

=====

Computed, not measured: crystalline Rb4Nd3InSe8 at its relaxed geometry at the PBE-GGA level of DFT.

a b c (Å): 8.6619 9.4682 8.6641
angles (deg): 117.26 119.99 90.00
Last column: nearest neighbours and their distance in Å.
Fractional positions:
Rb 0.5000 0.0000 0.0000  6 Se 3.54-3.55
Rb 0.5000 0.0000 0.5000  6 Se 3.46
Rb 0.0000 0.0000 0.0000  6 Se 3.46
Rb 0.0000 0.0000 0.5000  6 Se 3.46
Nd 0.5000 0.5000 0.0000  6 Se 2.98-3.00
Nd 0.5000 0.5000 0.5000  6 Se 2.98-3.00
Nd 0.0000 0.5000 0.5000  6 Se 2.98-3.00
In 0.0000 0.5000 0.0000  6 Se 2.89-2.90
Se 0.2270 0.6976 0.9707  1 In 2.89, 2 Nd 3.00
Se 0.2277 0.6981 0.4554  1 In 2.90, 2 Nd 3.00
Se 0.2661 0.2982 0.5321  3 Nd 2.98
Se 0.7437 0.6976 0.9707  1 In 2.89, 2 Nd 3.00
Se 0.2563 0.3024 0.0293  1 In 2.89, 2 Nd 3.00
Se 0.7339 0.7018 0.4679  3 Nd 2.98
Se 0.7723 0.3019 0.5446  1 In 2.90, 2 Nd 3.00
Se 0.7730 0.3024 0.0293  1 In 2.89, 2 Nd 3.00

Computed properties:
- DFT total energy: -72.48 eV for the cell shown
- Space group: R-3m, No. 166
- Spin magnetization: 0.0 μB per formula unit
- E_form (uncorrected): -1.48 eV per atom

=====

Computed, not measured: crystalline Rb3Nd3InSe8 at its relaxed geometry at the PBE-GGA level of DFT.

a b c (Å): 8.5471 8.5505 9.6036
angles (deg): 116.48 90.01 119.97
Last column: nearest neighbours and their distance in Å.
Fractional positions:
Rb 0.0000 0.0000 0.0000  6 Se 3.48-3.50
Rb 0.0000 0.5000 0.0000  6 Se 3.48-3.50
Rb 0.5000 0.5000 0.0000  6 Se 3.48-3.50
Nd 0.5000 0.0000 0.5000  6 Se 2.98
Nd 0.5000 0.5000 0.5000  6 Se 2.97-2.98
Nd 0.0000 0.5000 0.5000  6 Se 2.97-2.98
In 0.0000 0.0000 0.5000  6 Se 2.85-2.86
Se 0.2660 0.5321 0.2985  3 Nd 2.97-2.98
Se 0.7340 0.4679 0.7015  3 Nd 2.97-2.98
Se 0.7757 0.5514 0.3065  1 In 2.85, 2 Nd 2.98
Se 0.2243 0.4486 0.6935  1 In 2.85, 2 Nd 2.98
Se 0.7753 0.0306 0.3063  1 In 2.86, 2 Nd 2.98
Se 0.2247 0.9694 0.6937  1 In 2.86, 2 Nd 2.98
Se 0.2557 0.0307 0.3061  1 In 2.86, 2 Nd 2.98
Se 0.7443 0.9693 0.6939  1 In 2.86, 2 Nd 2.98

Computed properties:
- DFT total energy: -68.69 eV for the cell shown
- Space group: C2/m, No. 12
- Spin magnetization: 0.0 μB per formula unit
- E_form (uncorrected): -1.39 eV per atom

=====

Computed, not measured: crystalline Nd2InRh3 at its relaxed geometry at the PBE-GGA level of DFT.

a b c (Å): 4.6979 5.5388 6.2374
angles (deg): 116.36 112.12 90.00
Last column: nearest neighbours and their distance in Å.
Fractional positions:
Nd 0.6796 0.1796 0.3592  6 Rh 2.80-3.00
Nd 0.3204 0.8204 0.6408  6 Rh 2.80-3.00
In 0.0000 0.5000 0.0000  6 Rh 2.73-2.77
Rh 0.3632 0.3632 0.7265  2 In 2.73, 1 Rh 2.77, 4 Nd 2.80-3.00
Rh 0.0000 0.0000 0.0000  2 In 2.77, 4 Nd 2.97
Rh 0.6368 0.6368 0.2735  2 In 2.73, 1 Rh 2.77, 4 Nd 2.80-3.00

Computed properties:
- DFT total energy: -36.67 eV for the cell shown
- Space group: Immm, No. 71
- Spin magnetization: 0.0 μB per formula unit
- Formation enthalpy at 0 K: -0.3904 eV per atom

=====

Computed, not measured: crystalline NdInRh at its relaxed geometry at the PBE-GGA level of DFT.

a b c (Å): 7.6534 7.6534 4.0351
angles (deg): 90.00 90.00 120.00
Last column: nearest neighbours and their distance in Å.
Fractional positions:
Nd 0.5906 0.0000 0.5000  5 Rh 3.07-3.13, 6 In 3.28-3.40
Nd 0.4094 0.4094 0.5000  5 Rh 3.07-3.13, 6 In 3.28-3.40
Nd 0.0000 0.5906 0.5000  5 Rh 3.07-3.13, 6 In 3.28-3.40
In 0.2521 0.0000 0.0000  4 Rh 2.79-2.91
In 0.7479 0.7479 0.0000  4 Rh 2.79-2.91
In 0.0000 0.2521 0.0000  4 Rh 2.79-2.91
Rh 0.0000 0.0000 0.5000  6 In 2.79
Rh 0.3333 0.6667 0.0000  3 In 2.91, 6 Nd 3.07
Rh 0.6667 0.3333 0.0000  3 In 2.91, 6 Nd 3.07

Computed properties:
- DFT total energy: -50.95 eV for the cell shown
- Space group: P-62m, No. 189
- Spin magnetization: 0.0 μB per formula unit
- Formation enthalpy at 0 K: -0.7087 eV per atom

=====

Computed, not measured: crystalline Nd8In2Rh3 at its relaxed geometry at the PBE-GGA level of DFT.

a b c (Å): 6.8199 7.7306 9.2913
angles (deg): 114.58 107.31 90.00
Last column: nearest neighbours and their distance in Å.
Fractional positions:
Nd 0.9855 0.6470 0.2940  2 Rh 2.93
Nd 0.0145 0.3530 0.7060  2 Rh 2.93
Nd 0.9247 0.0942 0.1884  3 Rh 2.81-2.99
Nd 0.0753 0.9058 0.8116  3 Rh 2.81-2.99
Nd 0.5927 0.6436 0.8097  2 Rh 2.74-2.78
Nd 0.5927 0.1661 0.8097  2 Rh 2.74-2.78
Nd 0.4073 0.8339 0.1903  2 Rh 2.74-2.78
Nd 0.4073 0.3564 0.1903  2 Rh 2.74-2.78
In 0.3711 0.2452 0.4904  6 Nd 3.21-3.48
In 0.6289 0.7548 0.5096  6 Nd 3.21-3.48
Rh 0.5000 0.0000 0.0000  6 Nd 2.78-2.81
Rh 0.0000 0.3067 0.0000  6 Nd 2.74-2.99, 1 Rh 2.99
Rh 0.0000 0.6933 0.0000  6 Nd 2.74-2.99, 1 Rh 2.99

Computed properties:
- DFT total energy: -70.30 eV for the cell shown
- Space group: C2/m, No. 12
- Spin magnetization: 0.0 μB per formula unit
- Formation enthalpy at 0 K: -0.3556 eV per atom

=====

Computed, not measured: crystalline NdInRh at its relaxed geometry at the PBE-GGA level of DFT.

a b c (Å): 4.1800 7.5885 12.9197
angles (deg): 88.80 90.00 90.00
Last column: nearest neighbours and their distance in Å.
Fractional positions:
Nd 0.7500 0.5400 0.3756  5 Rh 3.06-3.16, 4 In 3.30-3.38
Nd 0.2500 0.9498 0.7134  5 Rh 2.98-3.16, 2 In 3.33
Nd 0.7500 0.0502 0.2866  5 Rh 2.98-3.16, 2 In 3.33
Nd 0.7500 0.6591 0.0816  5 Rh 3.07-3.13, 5 In 3.31-3.37
Nd 0.2500 0.4600 0.6244  5 Rh 3.06-3.16, 4 In 3.30-3.38
Nd 0.2500 0.3409 0.9184  5 Rh 3.07-3.13, 5 In 3.31-3.37
In 0.2500 0.9967 0.0871  4 Rh 2.80-2.91, 2 In 3.07
In 0.2500 0.8593 0.4558  4 Rh 2.77-2.98
In 0.7500 0.6213 0.7958  4 Rh 2.80-2.90
In 0.7500 0.1407 0.5442  4 Rh 2.77-2.98
In 0.2500 0.3787 0.2042  4 Rh 2.80-2.90
In 0.7500 0.0033 0.9129  4 Rh 2.80-2.91, 2 In 3.07
Rh 0.2500 0.7539 0.9156  5 In 2.80-2.91, 4 Nd 2.98-3.13
Rh 0.7500 0.2542 0.7509  3 In 2.80-2.86, 4 Nd 3.06-3.09
Rh 0.7500 0.7523 0.5836  4 In 2.77-2.98, 4 Nd 3.08-3.09
Rh 0.7500 0.2461 0.0844  5 In 2.80-2.91, 4 Nd 2.98-3.13
Rh 0.2500 0.2477 0.4164  4 In 2.77-2.98, 4 Nd 3.08-3.09
Rh 0.2500 0.7458 0.2491  3 In 2.80-2.86, 4 Nd 3.06-3.09

Computed properties:
- DFT total energy: -101.65 eV for the cell shown
- Space group: P2_1/m, No. 11
- Spin magnetization: 0.0 μB per formula unit
- Formation enthalpy at 0 K: -0.6949 eV per atom

=====

Computed, not measured: crystalline NdIn3Rh at its relaxed geometry at the PBE-GGA level of DFT.

a b c (Å): 4.4926 9.1466 11.6002
angles (deg): 90.00 90.00 90.00
Last column: nearest neighbours and their distance in Å.
Fractional positions:
Nd 0.7500 0.7965 0.0100  8 In 3.27-3.54, 2 Rh 3.32
Nd 0.2500 0.7035 0.5100  8 In 3.27-3.54, 2 Rh 3.32
Nd 0.7500 0.2965 0.4900  8 In 3.27-3.54, 2 Rh 3.32
Nd 0.2500 0.2035 0.9900  8 In 3.27-3.54, 2 Rh 3.32
In 0.2500 0.5547 0.0865  3 Rh 2.74-2.81, 1 In 2.99
In 0.7500 0.4453 0.9135  3 Rh 2.74-2.81, 1 In 2.99
In 0.2500 0.0547 0.4135  3 Rh 2.74-2.81, 1 In 2.99
In 0.7500 0.9453 0.5865  3 Rh 2.74-2.81, 1 In 2.99
In 0.2500 0.3989 0.6978  2 Rh 2.67-2.69
In 0.7500 0.1011 0.1978  2 Rh 2.67-2.69
In 0.2500 0.8989 0.8022  2 Rh 2.67-2.69
In 0.7500 0.6492 0.7120  2 Rh 2.81, 2 In 2.99-3.08
In 0.2500 0.3508 0.2880  2 Rh 2.81, 2 In 2.99-3.08
In 0.7500 0.1492 0.7880  2 Rh 2.81, 2 In 2.99-3.08
In 0.7500 0.6011 0.3022  2 Rh 2.67-2.69
In 0.2500 0.8508 0.2120  2 Rh 2.81, 2 In 2.99-3.08
Rh 0.2500 0.1147 0.6447  7 In 2.67-2.81
Rh 0.2500 0.6147 0.8553  7 In 2.67-2.81
Rh 0.7500 0.3853 0.1447  7 In 2.67-2.81
Rh 0.7500 0.8853 0.3553  7 In 2.67-2.81

Computed properties:
- DFT total energy: -91.27 eV for the cell shown
- Space group: Pnma, No. 62
- Spin magnetization: 0.0 μB per formula unit
- Formation enthalpy at 0 K: -0.4967 eV per atom

=====

Computed, not measured: crystalline Nd4InRh at its relaxed geometry at the PBE-GGA level of DFT.

a b c (Å): 9.9693 9.9693 9.9693
angles (deg): 60.00 60.00 60.00
Last column: nearest neighbours and their distance in Å.
Fractional positions:
Nd 0.4009 0.4009 0.4009  3 Rh 2.93
Nd 0.7973 0.4009 0.4009  3 Rh 2.93
Nd 0.4009 0.7973 0.4009  3 Rh 2.93
Nd 0.4009 0.4009 0.7973  3 Rh 2.93
Nd 0.5581 0.5581 0.9419  2 Rh 2.92
Nd 0.9419 0.9419 0.5581  2 Rh 2.92
Nd 0.5581 0.9419 0.5581  2 Rh 2.92
Nd 0.9419 0.5581 0.9419  2 Rh 2.92
Nd 0.9419 0.5581 0.5581  2 Rh 2.92
Nd 0.5581 0.9419 0.9419  2 Rh 2.92
Nd 0.1885 0.1885 0.8115  2 In 3.38, 2 Rh 3.59, 10 Nd 3.59-3.76
Nd 0.8115 0.8115 0.1885  2 In 3.38, 2 Rh 3.59, 10 Nd 3.59-3.76
Nd 0.1885 0.8115 0.1885  2 In 3.38, 2 Rh 3.59, 10 Nd 3.59-3.76
Nd 0.8115 0.1885 0.8115  2 In 3.38, 2 Rh 3.59, 10 Nd 3.59-3.76
Nd 0.8115 0.1885 0.1885  2 In 3.38, 2 Rh 3.59, 10 Nd 3.59-3.76
Nd 0.1885 0.8115 0.8115  2 In 3.38, 2 Rh 3.59, 10 Nd 3.59-3.76
In 0.1689 0.1689 0.1689  3 In 3.23, 9 Nd 3.38-3.59
In 0.4932 0.1689 0.1689  3 In 3.23, 9 Nd 3.38-3.59
In 0.1689 0.4932 0.1689  3 In 3.23, 9 Nd 3.38-3.59
In 0.1689 0.1689 0.4932  3 In 3.23, 9 Nd 3.38-3.59
Rh 0.6081 0.6081 0.6081  6 Nd 2.92-2.93
Rh 0.1757 0.6081 0.6081  6 Nd 2.92-2.93
Rh 0.6081 0.1757 0.6081  6 Nd 2.92-2.93
Rh 0.6081 0.6081 0.1757  6 Nd 2.92-2.93

Computed properties:
- DFT total energy: -128.09 eV for the cell shown
- Space group: F-43m, No. 216
- Spin magnetization: 0.0 μB per formula unit
- Formation enthalpy at 0 K: -0.4768 eV per atom

=====

Computed, not measured: crystalline Nd2InRh2 at its relaxed geometry at the PBE-GGA level of DFT.

a b c (Å): 5.9140 5.9140 8.1833
angles (deg): 75.66 75.66 57.28
Last column: nearest neighbours and their distance in Å.
Fractional positions:
Nd 0.5117 0.1966 0.1494  5 Rh 2.98-3.16
Nd 0.8034 0.4883 0.3506  5 Rh 2.98-3.16
Nd 0.4883 0.8034 0.8506  5 Rh 2.98-3.16
Nd 0.1966 0.5117 0.6494  5 Rh 2.98-3.16
In 0.1571 0.8429 0.2500  4 Rh 2.76-2.78
In 0.8429 0.1571 0.7500  4 Rh 2.76-2.78
Rh 0.7177 0.0041 0.5077  1 Rh 2.64, 2 In 2.76-2.78
Rh 0.9959 0.2823 0.9923  1 Rh 2.64, 2 In 2.76-2.78
Rh 0.2823 0.9959 0.4923  1 Rh 2.64, 2 In 2.76-2.78
Rh 0.0041 0.7177 0.0077  1 Rh 2.64, 2 In 2.76-2.78

Computed properties:
- DFT total energy: -60.90 eV for the cell shown
- Space group: C2/c, No. 15
- Spin magnetization: 0.0 μB per formula unit
- Formation enthalpy at 0 K: -0.6949 eV per atom